[1]
DFT (PBE-GGA) results for a geometry-optimized RbB3Se structure.

Cell lengths 5.144, 5.144, 5.144 Å; angles 90.00, 90.00, 90.00 degrees
Fractional positions:
Rb (0.000, 0.000, 0.000)
B (0.000, 0.000, 0.500)
B (0.000, 0.500, 0.000)
B (0.500, 0.000, 0.000)
Se (0.500, 0.500, 0.500)

Values from the calculation:
* formation energy from raw total energies: 3.304 eV/atom
* energy above the most stable polymorph in this dataset: 1.267 eV per atom
* uncorrected energy: -1.593 eV per atom

=====

[2]
DFT (PBE-GGA) results for a geometry-optimized AgRu3O structure.

Cell lengths 4.102, 4.102, 4.102 Å; angles 90.00, 90.00, 90.00 degrees
Fractional positions:
Ag (0.000, 0.000, 0.000)
Ru (0.000, 0.500, 0.500)
Ru (0.500, 0.000, 0.500)
Ru (0.500, 0.500, 0.000)
O (0.500, 0.500, 0.500)

Values from the calculation:
* formation energy from raw total energies: 0.443 eV/atom
* energy above the most stable polymorph in this dataset: 0.000 eV per atom
* uncorrected energy: -6.684 eV per atom

=====

[3]
DFT (PBE-GGA) results for a geometry-optimized Tb2Si4Ir5 structure.

Cell lengths 8.546, 7.617, 5.540 Å; angles 79.29, 61.14, 39.57 degrees
Fractional positions:
Tb (0.126, 0.126, 0.874)
Tb (0.874, 0.874, 0.126)
Si (0.214, 0.523, 0.477)
Si (0.477, 0.786, 0.214)
Si (0.523, 0.214, 0.786)
Si (0.786, 0.477, 0.523)
Ir (0.000, 0.000, 0.500)
Ir (0.250, 0.250, 0.250)
Ir (0.500, 0.500, 0.000)
Ir (0.500, 0.500, 0.500)
Ir (0.750, 0.750, 0.750)

Values from the calculation:
* formation energy from raw total energies: -0.898 eV/atom
* uncorrected energy: -7.739 eV per atom

=====

[4]
DFT (PBE-GGA) results for a geometry-optimized YOsAu2 structure.

Cell lengths 9.107, 9.107, 9.107 Å; angles 20.25, 20.25, 20.25 degrees
Fractional positions:
Y (0.000, 0.000, 0.000)
Os (0.745, 0.745, 0.745)
Au (0.243, 0.243, 0.243)
Au (0.492, 0.492, 0.492)

Values from the calculation:
* calculated formation energy: 313 meV per atom
* energy above the most stable polymorph in this dataset: 0.450 eV per atom
* uncorrected energy: -5.749 eV per atom

=====

[5]
DFT (PBE-GGA) results for a geometry-optimized Dy2ZnHg4 structure.

Cell lengths 5.185, 5.185, 8.182 Å; angles 115.19, 115.19, 61.40 degrees
Fractional positions:
Dy (0.247, 0.247, 0.184)
Dy (0.753, 0.753, 0.816)
Zn (0.500, 0.500, 0.000)
Hg (0.062, 0.062, 0.749)
Hg (0.337, 0.337, 0.610)
Hg (0.663, 0.663, 0.390)
Hg (0.938, 0.938, 0.251)

Values from the calculation:
* calculated formation energy: -277 meV per atom
* uncorrected energy: -1.946 eV per atom

=====

[6]
DFT (PBE-GGA) results for a geometry-optimized EuTmTlGe structure.

Cell lengths 5.291, 5.291, 5.291 Å; angles 60.00, 60.00, 60.00 degrees
Fractional positions:
Eu (0.000, 0.000, 0.000)
Tm (0.500, 0.500, 0.500)
Tl (0.750, 0.750, 0.750)
Ge (0.250, 0.250, 0.250)

Values from the calculation:
* calculated formation energy: -405 meV per atom
* uncorrected energy: -5.837 eV per atom

=====

[7]
DFT (PBE-GGA) results for a geometry-optimized Ca2LaSiRu structure.

Cell lengths 5.546, 5.546, 4.565 Å; angles 90.00, 90.00, 90.00 degrees
Fractional positions:
Ca (0.000, 0.500, 0.000)
Ca (0.500, 0.000, 0.000)
La (0.000, 0.000, 0.500)
Si (0.500, 0.500, 0.000)
Ru (0.500, 0.500, 0.500)

Values from the calculation:
* formation energy from raw total energies: 0.122 eV/atom
* uncorrected energy: -4.604 eV per atom

=====

[8]
DFT (PBE-GGA) results for a geometry-optimized Li2MgTl5 structure.

Cell lengths 6.496, 6.496, 6.496 Å; angles 116.05, 116.05, 96.99 degrees
Fractional positions:
Li (0.000, 0.500, 0.500)
Li (0.500, 0.000, 0.500)
Mg (0.498, 0.498, 0.000)
Tl (0.000, 0.000, 0.000)
Tl (0.500, 0.500, 0.501)
Tl (0.500, 0.999, 0.000)
Tl (0.999, 0.500, 0.000)
Tl (0.999, 0.999, 0.499)

Values from the calculation:
* calculated formation energy: -80 meV per atom
* energy above the most stable polymorph in this dataset: 0.000 eV per atom
* uncorrected energy: -2.237 eV per atom

=====

[9]
DFT (PBE-GGA) results for a geometry-optimized SrCrBiRu2 structure.

Cell lengths 4.792, 4.792, 5.795 Å; angles 90.00, 90.00, 90.00 degrees
Fractional positions:
Sr (0.000, 0.000, 0.000)
Cr (0.500, 0.500, 0.500)
Bi (0.000, 0.000, 0.500)
Ru (0.000, 0.500, 0.000)
Ru (0.500, 0.000, 0.000)

Values from the calculation:
* calculated formation energy: 2716 meV per atom
* uncorrected energy: -4.032 eV per atom

=====

[10]
DFT (PBE-GGA) results for a geometry-optimized GeMo3Au structure.

Cell lengths 4.882, 4.882, 4.882 Å; angles 90.00, 90.00, 90.00 degrees
Fractional positions:
Ge (0.000, 0.000, 0.000)
Mo (0.000, 0.500, 0.500)
Mo (0.500, 0.000, 0.500)
Mo (0.500, 0.500, 0.000)
Au (0.500, 0.500, 0.500)

Values from the calculation:
* calculated formation energy: 2240 meV per atom
* energy above the most stable polymorph in this dataset: 0.904 eV per atom
* uncorrected energy: -5.838 eV per atom

=====

[11]
DFT (PBE-GGA) results for a geometry-optimized NaFeP3 structure.

Cell lengths 4.689, 4.689, 4.689 Å; angles 90.00, 90.00, 90.00 degrees
Fractional positions:
Na (0.000, 0.000, 0.000)
Fe (0.500, 0.500, 0.500)
P (0.000, 0.000, 0.500)
P (0.000, 0.500, 0.000)
P (0.500, 0.000, 0.000)

Values from the calculation:
* calculated formation energy: 2053 meV per atom
* energy above the most stable polymorph in this dataset: 1.755 eV per atom
* uncorrected energy: -3.149 eV per atom

=====

[12]
DFT (PBE-GGA) results for a geometry-optimized CuSbSe2 structure.

Cell lengths 6.409, 6.409, 6.409 Å; angles 144.41, 144.41, 51.22 degrees
Fractional positions:
Cu (0.000, 0.000, 0.000)
Sb (0.250, 0.750, 0.500)
Se (0.500, 0.500, 0.000)
Se (0.750, 0.250, 0.500)

Values from the calculation:
* formation energy from raw total energies: 0.306 eV/atom
* uncorrected energy: -3.491 eV per atom